Here is AcY2Ga after structural relaxation from the Alexandria database. Energies are from PBE-GGA.

energy of formation from the pure elements	-0.13	eV/atom
calculated total energy	-20.577	eV per cell

Cell lengths 4.9314, 4.9314, 4.9366 Å; angles 90.00, 90.00, 90.00 degrees
Fractional coordinates of all 4 atoms:
1 Ac 0.0000 0.0000 0.0000
2 Y 0.0000 0.5000 0.5000
3 Y 0.5000 0.0000 0.5000
4 Ga 0.5000 0.5000 0.0000


Here is AcYGa3 after structural relaxation from the Alexandria database. Energies are from PBE-GGA.

energy of formation from the pure elements	-0.64	eV/atom
calculated total energy	-45.666	eV per cell

Cell lengths 13.2816, 13.2816, 4.2980 Å; angles 90.00, 90.00, 160.37 degrees
Fractional coordinates of all 10 atoms:
1 Ac 0.0755 0.9245 0.7500
2 Ac 0.9245 0.0755 0.2500
3 Y 0.2040 0.7960 0.2500
4 Y 0.7960 0.2040 0.7500
5 Ga 0.3198 0.6802 0.2500
6 Ga 0.3761 0.6239 0.7500
7 Ga 0.4753 0.5247 0.7500
8 Ga 0.5247 0.4753 0.2500
9 Ga 0.6239 0.3761 0.2500
10 Ga 0.6802 0.3198 0.7500


| no. | magnetic moment (μB per formula unit) | mass density (g cm⁻³) |
| --- | --- | --- |
| 1 | 0.7 | 6.6 |
| 2 | 0.0 | 6.8 |